Computed, not measured: BeZnSeN2 after structural relaxation at the PBE level of DFT.

Its energy above the most stable polymorph in this dataset is 2.976 eV per formula unit. The calculation puts the formation energy from raw total energies at 1561.5 meV per atom. The symmetry is No. 123. The calculation puts the density of states at the Fermi level at 0.2718 states/eV/atom. As for the raw total energy: -3.4656 eV per atom.

Cell lengths 3.7385, 3.7385, 5.9989 Å; angles 90.00, 90.00, 90.00 degrees
Positions (direct):
Be 0.0000 0.0000 0.0000
Zn 0.5000 0.5000 0.5000
Se 0.5000 0.5000 0.0000
N 0.0000 0.5000 0.5000
N 0.5000 0.0000 0.5000